1.
ThAu2 | GGA-PBE | optimized geometry

Cell: 8.1232 8.1232 8.1232 Å, 90.00 90.00 90.00°
Space group Fd-3m (No. 227, origin choice 2)
Asymmetric unit:
Th1 0.1250 0.1250 0.1250
Au1 0.0000 0.0000 0.5000

Properties
E_tot   -5.04 eV per atom
Energy relative to the elements   -0.378 eV per atom
Density   15.5 g cm⁻³
DOS(E_F)   2.98 states/eV/f.u.

---

2.
Th3Au4 | GGA-PBE | optimized geometry

Cell: 13.8596 13.8596 6.2972 Å, 90.00 90.00 120.00°
Space group R-3 (No. 148, hexagonal axes)
Asymmetric unit:
Th1 0.0462 0.8339 0.2377
Au1 0.0000 0.0000 0.0000
Au2 0.0000 0.0000 0.5000
Au3 0.0571 0.6091 0.3784

Properties
E_tot   -5.72 eV per atom
Energy relative to the elements   -0.663 eV per atom
Density   14.1 g cm⁻³
DOS(E_F)   6.62 states/eV/f.u.

---

3.
ThAu4 | GGA-PBE | optimized geometry

Cell: 5.5539 5.5539 5.5539 Å, 90.00 90.00 90.00°
Space group Pm-3m (No. 221)
Asymmetric unit:
Th1 0.0000 0.0000 0.0000
Au1 0.0000 0.0000 0.5000
Au2 0.5000 0.5000 0.5000

Properties
E_tot   -3.38 eV per atom
Energy relative to the elements   0.725 eV per atom
Density   9.9 g cm⁻³
DOS(E_F)   2.91 states/eV/f.u.

---

4.
Th3Au | GGA-PBE | optimized geometry

Cell: 3.4905 3.4953 10.0500 Å, 90.00 90.00 90.00°
Space group Pmm2 (No. 25)
Asymmetric unit:
Th1 0.0000 0.0000 0.0000
Th2 0.0000 0.5000 0.2965
Th3 0.5000 0.5000 0.7392
Au1 0.5000 0.0000 0.4829

Properties
E_tot   -6.43 eV per atom
Energy relative to the elements   -0.042 eV per atom
Density   12.1 g cm⁻³
Polymorph energy (0 for the lowest one)   247 meV per atom
DOS(E_F)   4.41 states/eV/f.u.

---

5.
Th14Au51 | GGA-PBE | optimized geometry

Cell: 13.0089 13.0089 9.3851 Å, 90.00 90.00 120.00°
Space group P-6 (No. 174)
Asymmetric unit:
Th1 0.0000 0.0000 0.2001
Th2 0.1128 0.7138 0.5000
Th3 0.1453 0.4635 0.0000
Th4 0.3843 0.1112 0.5000
Th5 0.4668 0.3218 0.0000
Au1 0.0236 0.8885 0.5000
Au2 0.0573 0.8179 0.0000
Au3 0.0769 0.2656 0.2720
Au4 0.1003 0.6548 0.1621
Au5 0.1159 0.4907 0.3487
Au6 0.2330 0.0557 0.0000
Au7 0.2730 0.1927 0.2669
Au8 0.3333 0.6667 0.1912
Au9 0.3333 0.6667 0.5000
Au10 0.4404 0.1006 0.1615
Au11 0.4979 0.3817 0.3493
Au12 0.6667 0.3333 0.1911
Au13 0.6667 0.3333 0.5000

Properties
E_tot   -4.79 eV per atom
Energy relative to the elements   -0.618 eV per atom
Density   16.0 g cm⁻³
DOS(E_F)   31.25 states/eV/f.u.

---

6.
Th4Au3 | GGA-PBE | optimized geometry

Cell: 14.4428 4.6719 6.3317 Å, 90.00 109.86 90.00°
Space group C2/m (No. 12)
Asymmetric unit:
Th1 0.0683 0.0000 0.3144
Th2 0.1586 0.5000 0.7901
Au1 0.0000 0.5000 0.0000
Au2 0.2221 0.5000 0.3211

Properties
E_tot   -5.99 eV per atom
Energy relative to the elements   -0.350 eV per atom
Density   12.6 g cm⁻³
DOS(E_F)   8.23 states/eV/f.u.